Density functional theory data (PBE-GGA) for crystalline SrHgRu2 at its relaxed geometry.

Results
E = -4.358 eV/atom

Unit cell a=6.078 b=8.757 c=2.992 alpha=90.00 beta=90.00 gamma=90.00
Space group Cmmm (No. 65)
Symmetry-distinct sites (fractional):
Sr 0.000 0.000 0.000 x2
Hg 0.000 0.500 0.000 x2
Ru 0.250 0.250 0.500 x4